# RbBi2N

Crystalline RbBi2N at its relaxed geometry (GGA-PBE, the Alexandria database).

Values from the calculation:
DOS at the Fermi energy: 0.8416 states/eV/atom
E_form (uncorrected): 0.553 eV per atom
Space group: No. 141

Unit cell a=6.640 b=6.640 c=13.663 alpha=90.00 beta=90.00 gamma=90.00
Element x y z (fractional)
Rb 0.000 0.250 0.375
Rb 0.000 0.750 0.625
Rb 0.500 0.250 0.125
Rb 0.500 0.750 0.875
Bi 0.000 0.000 0.000
Bi 0.000 0.500 0.000
Bi 0.250 0.250 0.750
Bi 0.250 0.750 0.250
Bi 0.500 0.000 0.500
Bi 0.500 0.500 0.500
Bi 0.750 0.250 0.750
Bi 0.750 0.750 0.250
N 0.000 0.250 0.875
N 0.000 0.750 0.125
N 0.500 0.250 0.625
N 0.500 0.750 0.375